Record 1
A relaxed UCdPt crystal. Source: the Open Quantum Materials Database, functional GGA-PBE.

Results
- Formation energy: 0.40 eV/atom

a b c (Å): 6.792 6.792 6.792
angles (deg): 90.00 90.00 90.00
Space group F-43m (No. 216)
One atom of each set of equivalent atoms:
U  0.000  0.000  0.000 x4
Cd  0.250  0.250  0.750 x4
Pt  0.250  0.250  0.250 x4

Record 2
A relaxed BaSmTe3Au crystal. Source: the Open Quantum Materials Database, functional GGA-PBE.

Results
- Calculated total energy: -4.455 eV/atom

a b c (Å): 8.689 4.512 10.854
angles (deg): 90.00 106.03 90.00
Space group P2_1/m (No. 11)
One atom of each set of equivalent atoms:
Ba  0.243  0.250  0.295 x2
Sm  0.305  0.750  0.838 x2
Te  0.059  0.250  0.853 x2
Te  0.263  0.750  0.545 x2
Te  0.435  0.750  0.141 x2
Au  0.096  0.250  0.608 x2